# 1
## SrTlHg2Sb (SCAN)

Data for SrTlHg2Sb at its PBEsol-relaxed geometry.

Computed properties:
- E_tot: -53.49 eV per atom
- Fermi-level density of states: 1.00 states/eV per atom
- Spin magnetization: 0.00 μB/f.u.

a = 5.3543 Å, b = 5.3543 Å, c = 6.2630 Å
α = 90.00°, β = 90.00°, γ = 90.00°
Last column: nearest neighbours and their distance in Å.
Space group P4/mmm (No. 123)
One atom of each set of equivalent atoms:
Sr: 0.0000 0.0000 0.0000 (multiplicity 1)  2 Tl 3.13
Tl: 0.0000 0.0000 0.5000 (multiplicity 1)  4 Hg 2.68
Hg: 0.0000 0.5000 0.5000 (multiplicity 2)  2 Tl 2.68
Sb: 0.5000 0.5000 0.0000 (multiplicity 1)  4 Sr 3.79, 8 Hg 4.12

***

# 2
## Os3Pt (SCAN)

Data for Os3Pt at its PBEsol-relaxed geometry.

Computed properties:
- E_form: 0.15 eV/atom
- Fermi-level density of states: 0.68 states/eV per atom
- Spin magnetization: 0.00 μB/f.u.

a = 2.7551 Å, b = 4.3425 Å, c = 4.7320 Å
α = 90.00°, β = 90.00°, γ = 90.00°
Last column: nearest neighbours and their distance in Å.
Space group Pmm2 (No. 25)
One atom of each set of equivalent atoms:
Os: 0.0000 0.0000 0.0000 (multiplicity 1)  8 Os 2.67-2.76, 4 Pt 2.70
Os: 0.0000 0.5000 0.3277 (multiplicity 1)  8 Os 2.67-2.76, 4 Pt 2.73-2.74
Os: 0.5000 0.0000 0.4947 (multiplicity 1)  2 Pt 2.68, 10 Os 2.69-2.76
Pt: 0.5000 0.5000 0.8261 (multiplicity 1)  10 Os 2.68-2.74, 2 Pt 2.76

***

Number 1 is which compound? SrTlHg2Sb

***

Which value of spin magnetization does entry 2 give? 0.00 μB/f.u.

***

Look up the Fermi-level density of states of the second one. 0.68 states/eV per atom